Record 1
Compound: Ce3CuGe6Rh2
Source: Alexandria
Functional: PBE
Structure: relaxed

a = 6.1395 Å, b = 6.1395 Å, c = 7.4209 Å
α = 90.00°, β = 90.00°, γ = 120.00°
Fractional positions:
Ce  0.0000  0.0000  0.0000
Ce  0.3333  0.6667  0.6839
Ce  0.6667  0.3333  0.3161
Cu  0.0000  0.0000  0.5000
Ge  0.1903  0.3806  0.2994
Ge  0.1903  0.8097  0.2994
Ge  0.3806  0.1903  0.7006
Ge  0.6194  0.8097  0.2994
Ge  0.8097  0.1903  0.7006
Ge  0.8097  0.6194  0.7006
Rh  0.3333  0.6667  0.0111
Rh  0.6667  0.3333  0.9889

DOS at the Fermi energy: 13.1 states/eV/cell
total energy: -5.73 eV per atom
energy relative to the elements: -0.37 eV per atom



Record 2
Compound: Ce2Cu3Ge4Rh
Source: Alexandria
Functional: PBE
Structure: relaxed

a = 4.2429 Å, b = 4.2429 Å, c = 9.9260 Å
α = 90.00°, β = 90.00°, γ = 90.00°
Fractional positions:
Ce  0.0000  0.5000  0.2494
Ce  0.5000  0.0000  0.7506
Cu  0.0000  0.0000  0.0000
Cu  0.0000  0.5000  0.6271
Cu  0.5000  0.0000  0.3729
Ge  0.0000  0.0000  0.5000
Ge  0.0000  0.5000  0.8679
Ge  0.5000  0.0000  0.1321
Ge  0.5000  0.5000  0.5000
Rh  0.5000  0.5000  0.0000

DOS at the Fermi energy: 11.5 states/eV/cell
total energy: -5.55 eV per atom
energy relative to the elements: -0.55 eV per atom



Record 3
Compound: CeCuGe2Rh2
Source: Alexandria
Functional: PBE
Structure: relaxed

a = 4.4903 Å, b = 4.4903 Å, c = 5.5377 Å
α = 90.00°, β = 90.00°, γ = 90.00°
Fractional positions:
Ce  0.0000  0.0000  0.0000
Cu  0.0000  0.0000  0.5000
Ge  0.0000  0.5000  0.5000
Ge  0.5000  0.0000  0.5000
Rh  0.5000  0.5000  0.2452
Rh  0.5000  0.5000  0.7548

DOS at the Fermi energy: 8.7 states/eV/cell
total energy: -5.79 eV per atom
energy relative to the elements: -0.13 eV per atom



Record 4
Compound: Ce2CuGeS5
Source: Alexandria
Functional: PBE
Structure: relaxed

a = 8.8300 Å, b = 8.8300 Å, c = 11.3881 Å
α = 90.00°, β = 90.00°, γ = 154.20°
Fractional positions:
Ce  0.1124  0.8876  0.5000
Ce  0.1204  0.8796  0.1205
Ce  0.8796  0.1204  0.6205
Ce  0.8876  0.1124  0.0000
Cu  0.2519  0.7481  0.9329
Cu  0.7481  0.2519  0.4329
Ge  0.4089  0.5911  0.2969
Ge  0.5911  0.4089  0.7969
S  0.0356  0.9644  0.8951
S  0.3047  0.6953  0.1327
S  0.3112  0.6888  0.4663
S  0.3575  0.6425  0.8150
S  0.4943  0.5057  0.1135
S  0.5057  0.4943  0.6135
S  0.6425  0.3575  0.3150
S  0.6888  0.3112  0.9663
S  0.6953  0.3047  0.6327
S  0.9644  0.0356  0.3951

DOS at the Fermi energy: 21.1 states/eV/cell
total energy: -5.78 eV per atom



Record 5
Compound: Ce3CuGeS7
Source: Alexandria
Functional: PBE
Structure: relaxed

a = 10.1845 Å, b = 10.1845 Å, c = 5.8860 Å
α = 90.00°, β = 90.00°, γ = 120.00°
Fractional positions:
Ce  0.1282  0.7708  0.0000
Ce  0.2292  0.3575  0.0000
Ce  0.3575  0.1282  0.5000
Ce  0.6425  0.8718  0.0000
Ce  0.7708  0.6425  0.5000
Ce  0.8718  0.2292  0.5000
Cu  0.0000  0.0000  0.4682
Cu  0.0000  0.0000  0.9682
Ge  0.3333  0.6667  0.5811
Ge  0.6667  0.3333  0.0811
S  0.0906  0.8391  0.4810
S  0.1022  0.5194  0.7357
S  0.1609  0.2515  0.4810
S  0.2515  0.0906  0.9810
S  0.3333  0.6667  0.2042
S  0.4172  0.8978  0.7357
S  0.4806  0.5828  0.7357
S  0.5194  0.4172  0.2357
S  0.5828  0.1022  0.2357
S  0.6667  0.3333  0.7042
S  0.7485  0.9094  0.4810
S  0.8391  0.7485  0.9810
S  0.8978  0.4806  0.2357
S  0.9094  0.1609  0.9810

DOS at the Fermi energy: 42.2 states/eV/cell
total energy: -6.03 eV per atom



Record 6
Compound: CeScCuGe
Source: Alexandria
Functional: PBE
Structure: relaxed

a = 6.9166 Å, b = 6.9166 Å, c = 6.9166 Å
α = 90.00°, β = 90.00°, γ = 90.00°
Fractional positions:
Ce  0.0000  0.0000  0.0000
Ce  0.0000  0.5000  0.5000
Ce  0.5000  0.0000  0.5000
Ce  0.5000  0.5000  0.0000
Sc  0.0000  0.0000  0.5000
Sc  0.0000  0.5000  0.0000
Sc  0.5000  0.0000  0.0000
Sc  0.5000  0.5000  0.5000
Cu  0.2500  0.2500  0.2500
Cu  0.2500  0.7500  0.7500
Cu  0.7500  0.2500  0.7500
Cu  0.7500  0.7500  0.2500
Ge  0.2500  0.2500  0.7500
Ge  0.2500  0.7500  0.2500
Ge  0.7500  0.2500  0.2500
Ge  0.7500  0.7500  0.7500

DOS at the Fermi energy: 33.2 states/eV/cell
total energy: -5.66 eV per atom
energy relative to the elements: -0.41 eV per atom



Record 7
Compound: Ce2ScCu3Ge4
Source: Alexandria
Functional: PBE
Structure: relaxed

a = 4.2628 Å, b = 4.2628 Å, c = 10.5338 Å
α = 90.00°, β = 90.00°, γ = 90.00°
Fractional positions:
Ce  0.0000  0.5000  0.2303
Ce  0.5000  0.0000  0.7697
Sc  0.0000  0.0000  0.5000
Cu  0.0000  0.5000  0.8811
Cu  0.5000  0.0000  0.1189
Cu  0.5000  0.5000  0.5000
Ge  0.0000  0.0000  0.0000
Ge  0.0000  0.5000  0.6528
Ge  0.5000  0.0000  0.3472
Ge  0.5000  0.5000  0.0000

DOS at the Fermi energy: 14.4 states/eV/cell
total energy: -5.42 eV per atom
energy relative to the elements: -0.53 eV per atom



Record 8
Compound: CeScCu2Ge2
Source: Alexandria
Functional: PBE
Structure: relaxed

a = 4.2358 Å, b = 4.2358 Å, c = 7.1370 Å
α = 90.00°, β = 90.00°, γ = 120.00°
Fractional positions:
Ce  0.0000  0.0000  0.0000
Sc  0.0000  0.0000  0.5000
Cu  0.3333  0.6667  0.6940
Cu  0.6667  0.3333  0.3060
Ge  0.3333  0.6667  0.2682
Ge  0.6667  0.3333  0.7318

DOS at the Fermi energy: 7.2 states/eV/cell
total energy: -5.57 eV per atom
energy relative to the elements: -0.62 eV per atom



Record 9
Compound: CeCu2SiGe
Source: Alexandria
Functional: PBE
Structure: relaxed

a = 4.1184 Å, b = 4.1184 Å, c = 10.0220 Å
α = 90.00°, β = 90.00°, γ = 90.00°
Fractional positions:
Ce  0.0000  0.0000  0.0000
Ce  0.5000  0.5000  0.5000
Cu  0.0000  0.5000  0.2441
Cu  0.0000  0.5000  0.7441
Cu  0.5000  0.0000  0.2441
Cu  0.5000  0.0000  0.7441
Si  0.0000  0.0000  0.6230
Si  0.5000  0.5000  0.1230
Ge  0.0000  0.0000  0.3805
Ge  0.5000  0.5000  0.8805

DOS at the Fermi energy: 9.9 states/eV/cell
total energy: -5.37 eV per atom



Record 10
Compound: CeSm2Cu2Ge2
Source: Alexandria
Functional: PBE
Structure: relaxed

a = 10.2067 Å, b = 10.2067 Å, c = 10.2067 Å
α = 24.31°, β = 24.31°, γ = 24.31°
Fractional positions:
Ce  0.0000  0.0000  0.0000
Sm  0.1245  0.1245  0.1245
Sm  0.8755  0.8755  0.8755
Cu  0.3972  0.3972  0.3972
Cu  0.6028  0.6028  0.6028
Ge  0.2680  0.2680  0.2680
Ge  0.7320  0.7320  0.7320

DOS at the Fermi energy: 7.8 states/eV/cell
total energy: -5.15 eV per atom
energy relative to the elements: -0.46 eV per atom



Record 11
Compound: Ce2Sm2CuGe4
Source: Alexandria
Functional: PBE
Structure: relaxed

a = 6.5424 Å, b = 6.5424 Å, c = 6.5424 Å
α = 114.61°, β = 114.61°, γ = 99.63°
Fractional positions:
Ce  0.1752  0.1752  0.0000
Ce  0.8248  0.8248  0.0000
Sm  0.2500  0.7500  0.5000
Sm  0.7500  0.2500  0.5000
Cu  0.5000  0.5000  0.0000
Ge  0.2639  0.2639  0.5277
Ge  0.2639  0.7361  0.0000
Ge  0.7361  0.2639  0.0000
Ge  0.7361  0.7361  0.4723

DOS at the Fermi energy: 9.9 states/eV/cell
total energy: -5.26 eV per atom
energy relative to the elements: -0.38 eV per atom



Record 12
Compound: Ce2Cu4SnGe3
Source: Alexandria
Functional: PBE
Structure: relaxed

a = 4.2533 Å, b = 4.2533 Å, c = 10.2435 Å
α = 90.00°, β = 90.00°, γ = 90.00°
Fractional positions:
Ce  0.0000  0.5000  0.2321
Ce  0.5000  0.0000  0.7679
Cu  0.0000  0.0000  0.0000
Cu  0.0000  0.5000  0.6432
Cu  0.5000  0.0000  0.3568
Cu  0.5000  0.5000  0.0000
Sn  0.0000  0.0000  0.5000
Ge  0.0000  0.5000  0.8740
Ge  0.5000  0.0000  0.1260
Ge  0.5000  0.5000  0.5000

DOS at the Fermi energy: 11.9 states/eV/cell
total energy: -5.06 eV per atom
energy relative to the elements: -0.45 eV per atom



Record 13
Compound: SrCe2Cu2Ge2
Source: Alexandria
Functional: PBE
Structure: relaxed

a = 9.8361 Å, b = 9.8361 Å, c = 9.8361 Å
α = 25.40°, β = 25.40°, γ = 25.40°
Fractional positions:
Sr  0.0000  0.0000  0.0000
Ce  0.1411  0.1411  0.1411
Ce  0.8589  0.8589  0.8589
Cu  0.4148  0.4148  0.4148
Cu  0.5852  0.5852  0.5852
Ge  0.2558  0.2558  0.2558
Ge  0.7442  0.7442  0.7442

DOS at the Fermi energy: 8.5 states/eV/cell
total energy: -4.87 eV per atom
energy relative to the elements: -0.44 eV per atom



Record 14
Compound: TbCeCu2Ge2
Source: Alexandria
Functional: PBE
Structure: relaxed

a = 4.2524 Å, b = 4.2524 Å, c = 7.6709 Å
α = 90.00°, β = 90.00°, γ = 120.00°
Fractional positions:
Tb  0.0000  0.0000  0.0000
Ce  0.0000  0.0000  0.5000
Cu  0.3333  0.6667  0.7604
Cu  0.6667  0.3333  0.2396
Ge  0.3333  0.6667  0.2475
Ge  0.6667  0.3333  0.7525

DOS at the Fermi energy: 6.6 states/eV/cell
total energy: -5.30 eV per atom
energy relative to the elements: -0.64 eV per atom



Record 15
Compound: Tb2Ce2CuGe4
Source: Alexandria
Functional: PBE
Structure: relaxed

a = 6.5166 Å, b = 6.5166 Å, c = 6.5166 Å
α = 115.20°, β = 115.20°, γ = 98.55°
Fractional positions:
Tb  0.2500  0.7500  0.5000
Tb  0.7500  0.2500  0.5000
Ce  0.1844  0.1844  0.0000
Ce  0.8156  0.8156  0.0000
Cu  0.5000  0.5000  0.0000
Ge  0.2609  0.2609  0.5218
Ge  0.2609  0.7391  0.0000
Ge  0.7391  0.2609  0.0000
Ge  0.7391  0.7391  0.4782

DOS at the Fermi energy: 12.6 states/eV/cell
total energy: -5.22 eV per atom
energy relative to the elements: -0.36 eV per atom



Record 16
Compound: Ce2CuTcGe6
Source: Alexandria
Functional: PBE
Structure: relaxed

a = 6.5239 Å, b = 8.7561 Å, c = 7.1395 Å
α = 90.00°, β = 90.00°, γ = 90.00°
Fractional positions:
Ce  0.2500  0.0017  0.2425
Ce  0.2500  0.4983  0.2425
Ce  0.7500  0.5017  0.7575
Ce  0.7500  0.9983  0.7575
Cu  0.2500  0.2500  0.9042
Cu  0.7500  0.7500  0.0958
Tc  0.2500  0.7500  0.5943
Tc  0.7500  0.2500  0.4057
Ge  0.0580  0.7500  0.9239
Ge  0.0606  0.2500  0.5778
Ge  0.2500  0.0012  0.7567
Ge  0.2500  0.4988  0.7567
Ge  0.4394  0.2500  0.5778
Ge  0.4420  0.7500  0.9239
Ge  0.5580  0.2500  0.0761
Ge  0.5606  0.7500  0.4222
Ge  0.7500  0.5012  0.2433
Ge  0.7500  0.9988  0.2433
Ge  0.9394  0.7500  0.4222
Ge  0.9420  0.2500  0.0761

DOS at the Fermi energy: 25.3 states/eV/cell
total energy: -5.68 eV per atom
energy relative to the elements: -0.28 eV per atom



Record 17
Compound: CeThCu2Ge2
Source: Alexandria
Functional: PBE
Structure: relaxed

a = 4.2244 Å, b = 4.2244 Å, c = 8.0912 Å
α = 90.00°, β = 90.00°, γ = 120.00°
Fractional positions:
Ce  0.0000  0.0000  0.0000
Th  0.0000  0.0000  0.5000
Cu  0.3333  0.6667  0.2555
Cu  0.6667  0.3333  0.7445
Ge  0.3333  0.6667  0.7558
Ge  0.6667  0.3333  0.2442

DOS at the Fermi energy: 8.3 states/eV/cell
total energy: -5.73 eV per atom
energy relative to the elements: -0.60 eV per atom



Record 18
Compound: Ce2Th2CuGe4
Source: Alexandria
Functional: PBE
Structure: relaxed

a = 6.5334 Å, b = 6.5334 Å, c = 6.5334 Å
α = 114.64°, β = 114.64°, γ = 99.56°
Fractional positions:
Ce  0.1787  0.1787  0.0000
Ce  0.8213  0.8213  0.0000
Th  0.2500  0.7500  0.5000
Th  0.7500  0.2500  0.5000
Cu  0.5000  0.5000  0.0000
Ge  0.2625  0.2625  0.5251
Ge  0.2625  0.7375  0.0000
Ge  0.7375  0.2625  0.0000
Ge  0.7375  0.7375  0.4749

DOS at the Fermi energy: 11.9 states/eV/cell
total energy: -5.82 eV per atom
energy relative to the elements: -0.34 eV per atom



Record 19
Compound: CeTh2Cu2Ge2
Source: Alexandria
Functional: PBE
Structure: relaxed

a = 11.3971 Å, b = 11.3971 Å, c = 11.3971 Å
α = 20.77°, β = 20.77°, γ = 20.77°
Fractional positions:
Ce  0.0000  0.0000  0.0000
Th  0.1240  0.1240  0.1240
Th  0.8760  0.8760  0.8760
Cu  0.3999  0.3999  0.3999
Cu  0.6001  0.6001  0.6001
Ge  0.2745  0.2745  0.2745
Ge  0.7255  0.7255  0.7255

DOS at the Fermi energy: 8.7 states/eV/cell
total energy: -5.85 eV per atom
energy relative to the elements: -0.39 eV per atom



Record 20
Compound: Ce2TmCu2Ge2
Source: Alexandria
Functional: PBE
Structure: relaxed

a = 9.3035 Å, b = 9.3035 Å, c = 9.3035 Å
α = 26.21°, β = 26.21°, γ = 26.21°
Fractional positions:
Ce  0.1397  0.1397  0.1397
Ce  0.8603  0.8603  0.8603
Tm  0.0000  0.0000  0.0000
Cu  0.4015  0.4015  0.4015
Cu  0.5985  0.5985  0.5985
Ge  0.2657  0.2657  0.2657
Ge  0.7343  0.7343  0.7343

DOS at the Fermi energy: 8.8 states/eV/cell
total energy: -5.31 eV per atom
energy relative to the elements: -0.49 eV per atom